Entry 1:
VASP calculation (GGA-PBE) on an optimized crystal structure of InGa2PdCl.

Properties
crystal system = tetragonal
N(E_F) = 0.66 states/eV/f.u.
uncorrected formation energy = -0.47 eV/atom
M_tot = 0.00 μB/f.u.

Unit cell a=4.855 b=4.855 c=5.271 alpha=90.00 beta=90.00 gamma=90.00
Space group P4/mmm (No. 123)
Inequivalent atoms, fractional coordinates:
In (0.000, 0.000, 0.000) [1 per cell]
Ga (0.000, 0.500, 0.500) [2 per cell]
Pd (0.000, 0.000, 0.500) [1 per cell]
Cl (0.500, 0.500, 0.000) [1 per cell]

=====

Entry 2:
VASP calculation (GGA-PBE) on an optimized crystal structure of KRbAgH3.

Properties
crystal system = monoclinic
N(E_F) = 0.00 states/eV/f.u.
electronic total energy = -2.601 eV/atom
M_tot = 0.00 μB/f.u.

Unit cell a=7.190 b=4.255 c=9.525 alpha=90.00 beta=105.60 gamma=90.00
Space group P2_1/m (No. 11)
Inequivalent atoms, fractional coordinates:
K (0.030, 0.250, 0.338) [2 per cell]
Rb (0.490, 0.250, 0.700) [2 per cell]
Ag (0.189, 0.250, 0.988) [2 per cell]
H (0.145, 0.250, 0.804) [2 per cell]
H (0.250, 0.750, 0.507) [2 per cell]
H (0.263, 0.250, 0.173) [2 per cell]

=====

Entry 3:
VASP calculation (GGA-PBE) on an optimized crystal structure of AgP2WCl.

Properties
crystal system = tetragonal
N(E_F) = 5.07 states/eV/f.u.
energy relative to the lowest polymorph listed for this composition = 1229 meV per atom
uncorrected formation energy = 1.66 eV/atom
M_tot = 2.81 μB/f.u.

Unit cell a=4.797 b=4.797 c=4.733 alpha=90.00 beta=90.00 gamma=90.00
Space group P4/mmm (No. 123)
Inequivalent atoms, fractional coordinates:
Ag (0.000, 0.000, 0.000) [1 per cell]
P (0.000, 0.500, 0.000) [2 per cell]
W (0.500, 0.500, 0.500) [1 per cell]
Cl (0.000, 0.000, 0.500) [1 per cell]

=====

Entry 4:
VASP calculation (GGA-PBE) on an optimized crystal structure of Ce2ReN3.

Properties
crystal system = orthorhombic
N(E_F) = 3.89 states/eV/f.u.
uncorrected formation energy = -1.18 eV/atom
M_tot = 0.00 μB/f.u.

Unit cell a=3.449 b=3.866 c=12.789 alpha=90.00 beta=90.00 gamma=90.00
Space group Immm (No. 71)
Inequivalent atoms, fractional coordinates:
Ce (0.000, 0.000, 0.150) [4 per cell]
Re (0.000, 0.000, 0.500) [2 per cell]
N (0.000, 0.000, 0.333) [4 per cell]
N (0.000, 0.500, 0.500) [2 per cell]

=====

Repeat the second record exactly.
VASP calculation (GGA-PBE) on an optimized crystal structure of KRbAgH3.

Properties
crystal system = monoclinic
N(E_F) = 0.00 states/eV/f.u.
electronic total energy = -2.601 eV/atom
M_tot = 0.00 μB/f.u.

Unit cell a=7.190 b=4.255 c=9.525 alpha=90.00 beta=105.60 gamma=90.00
Space group P2_1/m (No. 11)
Inequivalent atoms, fractional coordinates:
K (0.030, 0.250, 0.338) [2 per cell]
Rb (0.490, 0.250, 0.700) [2 per cell]
Ag (0.189, 0.250, 0.988) [2 per cell]
H (0.145, 0.250, 0.804) [2 per cell]
H (0.250, 0.750, 0.507) [2 per cell]
H (0.263, 0.250, 0.173) [2 per cell]

=====

Please write out number 1 again, unchanged.
VASP calculation (GGA-PBE) on an optimized crystal structure of InGa2PdCl.

Properties
crystal system = tetragonal
N(E_F) = 0.66 states/eV/f.u.
uncorrected formation energy = -0.47 eV/atom
M_tot = 0.00 μB/f.u.

Unit cell a=4.855 b=4.855 c=5.271 alpha=90.00 beta=90.00 gamma=90.00
Space group P4/mmm (No. 123)
Inequivalent atoms, fractional coordinates:
In (0.000, 0.000, 0.000) [1 per cell]
Ga (0.000, 0.500, 0.500) [2 per cell]
Pd (0.000, 0.000, 0.500) [1 per cell]
Cl (0.500, 0.500, 0.000) [1 per cell]

=====

> Look up the M_tot of the third one.

2.81 μB/f.u.

=====

> Which formula does entry 3 have?

AgP2WCl